1.
# Sr3Zn3Ir2 | Alexandria via LeMat-Bulk | GGA-PBE | optimized geometry
data_Sr3Zn3Ir2
_cell_length_a 4.393
_cell_length_b 11.207
_cell_length_c 16.071
_cell_angle_alpha 90.00
_cell_angle_beta 90.00
_cell_angle_gamma 90.00
_symmetry_space_group_name_H-M 'C m c m'
_symmetry_Int_Tables_number 63
_symmetry_space_group_name_Hall '-C 2c 2'
loop_
_atom_site_label
_atom_site_fract_x
_atom_site_fract_y
_atom_site_fract_z
_atom_site_occupancy
Sr1 0.000 0.067 0.104 1
Sr2 0.000 0.359 0.250 1
Zn1 0.000 0.331 0.037 1
Zn2 0.000 0.332 0.750 1
Ir1 0.000 0.227 0.610 1
# **DOS at the Fermi energy**: 12.74 states/eV/cell
# **DFT formation energy**: -0.317 eV/atom
# **Size of the total moment**: 0.000 μB per atom



2.
# Sr2ZnIr | Alexandria via LeMat-Bulk | GGA-PBE | optimized geometry
data_Sr2ZnIr
_cell_length_a 3.432
_cell_length_b 3.723
_cell_length_c 8.769
_cell_angle_alpha 90.00
_cell_angle_beta 90.00
_cell_angle_gamma 90.00
_symmetry_space_group_name_H-M 'P m m 2'
_symmetry_Int_Tables_number 25
loop_
_symmetry_equiv_pos_as_xyz
'x,y,z'
'-x,-y,z'
'-x,y,z'
'x,-y,z'
loop_
_atom_site_label
_atom_site_fract_x
_atom_site_fract_y
_atom_site_fract_z
_atom_site_occupancy
Sr1 0.000 0.000 0.000 1
Sr2 0.500 0.500 0.424 1
Zn1 0.500 0.500 0.758 1
Ir1 0.000 0.000 0.661 1
# **DOS at the Fermi energy**: 2.80 states/eV/cell
# **DFT formation energy**: -0.047 eV/atom
# **Size of the total moment**: 0.000 μB per atom



3.
# SrZnIr2 | Alexandria via LeMat-Bulk | GGA-PBE | optimized geometry
data_SrZnIr2
_cell_length_a 2.935
_cell_length_b 4.374
_cell_length_c 6.076
_cell_angle_alpha 90.00
_cell_angle_beta 102.51
_cell_angle_gamma 90.00
_symmetry_space_group_name_H-M 'P 1 2/m 1'
_symmetry_Int_Tables_number 10
loop_
_symmetry_equiv_pos_as_xyz
'x,y,z'
'-x,-y,-z'
'-x,y,-z'
'x,-y,z'
loop_
_atom_site_label
_atom_site_fract_x
_atom_site_fract_y
_atom_site_fract_z
_atom_site_occupancy
Sr1 0.000 0.000 0.000 1
Zn1 0.500 0.000 0.500 1
Ir1 0.322 0.500 0.687 1
# **DOS at the Fermi energy**: 1.58 states/eV/cell
# **DFT formation energy**: 0.106 eV/atom
# **Size of the total moment**: 0.000 μB per atom



4.
# Sr2ZnIr | Alexandria via LeMat-Bulk | GGA-PBE | optimized geometry
data_Sr2ZnIr
_cell_length_a 3.563
_cell_length_b 3.840
_cell_length_c 7.784
_cell_angle_alpha 90.00
_cell_angle_beta 90.00
_cell_angle_gamma 90.00
_symmetry_space_group_name_H-M 'P m m m'
_symmetry_Int_Tables_number 47
loop_
_symmetry_equiv_pos_as_xyz
'x,y,z'
'-x,-y,-z'
'-x,-y,z'
'x,y,-z'
'x,-y,-z'
'-x,y,z'
'-x,y,-z'
'x,-y,z'
loop_
_atom_site_label
_atom_site_fract_x
_atom_site_fract_y
_atom_site_fract_z
_atom_site_occupancy
Sr1 0.000 0.000 0.221 1
Zn1 0.500 0.500 0.500 1
Ir1 0.500 0.500 0.000 1
# **DOS at the Fermi energy**: 3.08 states/eV/cell
# **DFT formation energy**: -0.050 eV/atom
# **Size of the total moment**: 0.000 μB per atom



Question: Number 4 is which compound?
Answer: Sr2ZnIr



Question: What is the formula in the fourth record?
Answer: Sr2ZnIr